# 1
First-principles (GGA-PBE) data for a relaxed structure of Zr3TiPb, as listed in the Alexandria database.

Values from the calculation:
DOS at the Fermi energy (states/eV/f.u.): 8.53
Total magnetic moment (μB per atom): 0.000
Calculated total energy (eV/atom): -6.8228
E_form (kJ/mol of atoms): 60.5
Calculated density (g cm⁻³): 7.08

The structure in extended XYZ format:
```
5
Lattice="4.988 0.000 0.000 0.000 4.988 0.000 0.000 0.000 4.988" Properties=species:S:1:pos:R:3 pbc="T T T"
Zr 0.000 0.000 2.494
Zr 0.000 2.494 0.000
Zr 2.494 0.000 0.000
Ti 0.000 0.000 0.000
Pb 2.494 2.494 2.494
```

***

# 2
First-principles (GGA-PBE) data for a relaxed structure of ZrTi3Pb, as listed in the Alexandria database.

Values from the calculation:
DOS at the Fermi energy (states/eV/f.u.): 7.95
Total magnetic moment (μB per atom): 0.334
Calculated total energy (eV/atom): -5.9714
E_form (kJ/mol of atoms): 117.4
Calculated density (g cm⁻³): 5.64

The structure in extended XYZ format:
```
5
Lattice="5.067 0.000 0.000 0.000 5.067 0.000 0.000 0.000 5.067" Properties=species:S:1:pos:R:3 pbc="T T T"
Zr 0.000 0.000 0.000
Ti 0.000 2.533 2.533
Ti 2.533 0.000 2.533
Ti 2.533 2.533 0.000
Pb 2.533 2.533 2.533
```

***

# 3
First-principles (GGA-PBE) data for a relaxed structure of ZrTi4Pb2, as listed in the Alexandria database.

Values from the calculation:
DOS at the Fermi energy (states/eV/f.u.): 10.08
Total magnetic moment (μB per atom): 0.000
Calculated total energy (eV/atom): -6.1229
E_form (kJ/mol of atoms): 64.6
Calculated density (g cm⁻³): 7.16

The structure in extended XYZ format:
```
7
Lattice="-1.746 1.746 13.253 1.746 -1.746 13.253 1.746 1.746 -13.253" Properties=species:S:1:pos:R:3 pbc="T T T"
Zr 0.000 0.000 0.000
Ti 0.000 0.000 2.497
Ti 1.746 0.000 6.626
Ti 0.000 1.746 6.626
Ti 0.000 0.000 24.009
Pb 0.000 0.000 9.102
Pb 0.000 0.000 17.404
```

***

Copy entry 3 word for word.
First-principles (GGA-PBE) data for a relaxed structure of ZrTi4Pb2, as listed in the Alexandria database.

Values from the calculation:
DOS at the Fermi energy (states/eV/f.u.): 10.08
Total magnetic moment (μB per atom): 0.000
Calculated total energy (eV/atom): -6.1229
E_form (kJ/mol of atoms): 64.6
Calculated density (g cm⁻³): 7.16

The structure in extended XYZ format:
```
7
Lattice="-1.746 1.746 13.253 1.746 -1.746 13.253 1.746 1.746 -13.253" Properties=species:S:1:pos:R:3 pbc="T T T"
Zr 0.000 0.000 0.000
Ti 0.000 0.000 2.497
Ti 1.746 0.000 6.626
Ti 0.000 1.746 6.626
Ti 0.000 0.000 24.009
Pb 0.000 0.000 9.102
Pb 0.000 0.000 17.404
```

***

Q: Number 2 is which compound?
A: ZrTi3Pb

***

Q: Which value of E_form does entry 1 give?
A: 60.5 kJ/mol of atoms

***

Copy entry 1 word for word.
First-principles (GGA-PBE) data for a relaxed structure of Zr3TiPb, as listed in the Alexandria database.

Values from the calculation:
DOS at the Fermi energy (states/eV/f.u.): 8.53
Total magnetic moment (μB per atom): 0.000
Calculated total energy (eV/atom): -6.8228
E_form (kJ/mol of atoms): 60.5
Calculated density (g cm⁻³): 7.08

The structure in extended XYZ format:
```
5
Lattice="4.988 0.000 0.000 0.000 4.988 0.000 0.000 0.000 4.988" Properties=species:S:1:pos:R:3 pbc="T T T"
Zr 0.000 0.000 2.494
Zr 0.000 2.494 0.000
Zr 2.494 0.000 0.000
Ti 0.000 0.000 0.000
Pb 2.494 2.494 2.494
```